Entry 1:
## Hf3HgB (PBEsol)

Data for a relaxed structure of Hf3HgB.

Summary:
Total moment in μB/f.u.: 0.00
Symmetry: No. 221
DOS(E_F) in states/eV per atom: 0.424
Final energy in eV/cell: -40.78

a = 4.5286 Å, b = 4.5286 Å, c = 4.5286 Å
α = 90.00°, β = 90.00°, γ = 90.00°
Closest atoms and distances in Å follow each position.
Fractional positions:
Hf (0.0000, 0.5000, 0.0000)  2 B 2.26
Hf (0.0000, 0.0000, 0.5000)  2 B 2.26
Hf (0.5000, 0.0000, 0.0000)  2 B 2.26
B (0.0000, 0.0000, 0.0000)  6 Hf 2.26
Hg (0.5000, 0.5000, 0.5000)  12 Hf 3.20


Entry 2:
## La2CrSi (PBEsol)

Data for a relaxed structure of La2CrSi.

Summary:
Total moment in μB/f.u.: 3.95
Formation energy without anion corrections in eV per formula unit: 0.26
Symmetry: No. 139
DOS(E_F) in states/eV per atom: 0.676

a = 5.1890 Å, b = 5.1998 Å, c = 5.1998 Å
α = 59.87°, β = 60.07°, γ = 60.07°
Closest atoms and distances in Å follow each position.
Fractional positions:
La (0.2500, 0.7500, 0.7500)  4 Cr 3.18, 4 Si 3.18
La (0.7500, 0.2500, 0.2500)  4 Cr 3.18, 4 Si 3.18
Si (0.5000, 0.0000, 0.0000)  8 La 3.18
Cr (0.0000, 0.5000, 0.5000)  8 La 3.18


Entry 3:
## CsBCl2 (PBEsol)

Data for a relaxed structure of CsBCl2.

Summary:
Total moment in μB/f.u.: 0.00
Formation energy without anion corrections in eV per formula unit: -0.04
Symmetry: No. 166

a = 5.2285 Å, b = 5.2285 Å, c = 8.4600 Å
α = 72.00°, β = 72.00°, γ = 60.00°
Closest atoms and distances in Å follow each position.
Fractional positions:
Cl (0.9044, 0.9044, 0.2869)  1 B 2.27
Cl (0.0956, 0.0956, 0.7131)  1 B 2.27
B (0.0000, 0.0000, 0.0000)  2 Cl 2.27
Cs (0.5000, 0.5000, 0.5000)  6 Cl 3.46


Entry 4:
## La2TlAg (PBEsol)

Data for a relaxed structure of La2TlAg.

Summary:
Total moment in μB/f.u.: 0.00
Symmetry: No. 166
DOS(E_F) in states/eV per atom: 1.055
Final energy in eV/cell: -17.14

a = 3.8221 Å, b = 3.8221 Å, c = 9.7271 Å
α = 78.67°, β = 78.67°, γ = 60.00°
Closest atoms and distances in Å follow each position.
Fractional positions:
Tl (0.5000, 0.5000, 0.5000)  6 La 3.33
La (0.2546, 0.2546, 0.2361)  3 Ag 3.14, 3 Tl 3.33
La (0.7454, 0.7454, 0.7639)  3 Ag 3.14, 3 Tl 3.33
Ag (0.0000, 0.0000, 0.0000)  6 La 3.14


Entry 5:
## SrSm2BeO5 (PBEsol)

Data for a relaxed structure of SrSm2BeO5.

Summary:
Total moment in μB/f.u.: 0.00
Formation energy without anion corrections in eV per formula unit: -28.59
Symmetry: No. 33
DOS(E_F) in states/eV per atom: 0.000

a = 6.4451 Å, b = 7.1638 Å, c = 9.4121 Å
α = 90.00°, β = 90.00°, γ = 90.00°
Closest atoms and distances in Å follow each position.
Fractional positions:
O (0.4765, 0.7506, 0.4897)  1 Be 1.64
O (0.6355, 0.7492, 0.2231)  1 Be 1.69
O (0.3161, 0.0567, 0.0705)  1 Be 1.62
O (0.0235, 0.7506, 0.9897)  1 Be 1.64
O (0.5235, 0.2506, 0.5103)  1 Be 1.64
O (0.8645, 0.7492, 0.7231)  1 Be 1.69
O (0.3645, 0.2492, 0.7769)  1 Be 1.69
O (0.1626, 0.7452, 0.2771)  2 Sm 2.35-2.38, 2 Sr 2.50-2.55
O (0.8044, 0.9439, 0.4323)  1 Be 1.60
O (0.1956, 0.4439, 0.5677)  1 Be 1.60
O (0.6839, 0.5567, 0.9295)  1 Be 1.62
O (0.3374, 0.7452, 0.7771)  2 Sm 2.35-2.38, 2 Sr 2.50-2.55
O (0.8374, 0.2452, 0.7229)  2 Sm 2.35-2.38, 2 Sr 2.50-2.55
O (0.6956, 0.9439, 0.9323)  1 Be 1.60
O (0.8161, 0.5567, 0.4295)  1 Be 1.62
O (0.9765, 0.2506, 0.0103)  1 Be 1.64
O (0.3044, 0.4439, 0.0677)  1 Be 1.60
O (0.1839, 0.0567, 0.5705)  1 Be 1.62
O (0.6626, 0.2452, 0.2229)  2 Sm 2.35-2.38, 2 Sr 2.50-2.55
O (0.1355, 0.2492, 0.2769)  1 Be 1.69
Sm (0.4037, 0.7470, 0.0227)  7 O 2.30-2.50
Sm (0.9037, 0.2470, 0.4773)  7 O 2.30-2.50
Sm (0.0963, 0.7470, 0.5227)  7 O 2.30-2.50
Sm (0.5963, 0.2470, 0.9773)  7 O 2.30-2.50
Sm (0.0719, 0.0274, 0.8274)  6 O 2.38-2.59
Sm (0.5719, 0.5274, 0.6726)  6 O 2.38-2.59
Sm (0.4281, 0.0274, 0.3274)  6 O 2.38-2.59
Sm (0.9281, 0.5274, 0.1726)  6 O 2.38-2.59
Sr (0.0820, 0.4808, 0.8252)  8 O 2.49-2.71, 1 Be 2.70
Sr (0.5820, 0.9808, 0.6748)  8 O 2.49-2.71, 1 Be 2.70
Sr (0.9180, 0.9808, 0.1748)  8 O 2.49-2.71, 1 Be 2.70
Sr (0.4180, 0.4808, 0.3252)  8 O 2.49-2.71, 1 Be 2.70
Be (0.1926, 0.2491, 0.1020)  4 O 1.60-1.69
Be (0.8074, 0.7491, 0.8980)  4 O 1.60-1.69
Be (0.3074, 0.2491, 0.6020)  4 O 1.60-1.69
Be (0.6926, 0.7491, 0.3980)  4 O 1.60-1.69


Entry 6:
## YCrBr2 (PBEsol)

Data for a relaxed structure of YCrBr2.

Summary:
Total moment in μB/f.u.: 5.15
Formation energy without anion corrections in eV per formula unit: -1.42
Symmetry: No. 123
DOS(E_F) in states/eV per atom: 0.448

a = 3.5783 Å, b = 3.5783 Å, c = 6.8586 Å
α = 90.00°, β = 90.00°, γ = 90.00°
Closest atoms and distances in Å follow each position.
Fractional positions:
Y (0.5000, 0.5000, 0.5000)  8 Br 3.00
Br (0.0000, 0.0000, 0.2661)  4 Y 3.00, 4 Cr 3.12, 1 Br 3.21
Br (0.0000, 0.0000, 0.7339)  4 Y 3.00, 4 Cr 3.12, 1 Br 3.21
Cr (0.5000, 0.5000, 0.0000)  8 Br 3.12, 2 Y 3.43


Entry 7:
## KNaHf4P6O24 (PBEsol)

Data for a relaxed structure of KNaHf4P6O24.

Summary:
Total moment in μB/f.u.: 0.00
Formation energy without anion corrections in eV per formula unit: -101.03
Symmetry: No. 148
DOS(E_F) in states/eV per atom: 0.000

a = 8.7695 Å, b = 8.7695 Å, c = 9.2567 Å
α = 61.73°, β = 61.73°, γ = 60.00°
Closest atoms and distances in Å follow each position.
Fractional positions:
O (0.0628, 0.2926, 0.7209)  1 P 1.54
O (0.2188, 0.4298, 0.7709)  1 P 1.54
O (0.2328, 0.9910, 0.4100)  1 P 1.53
O (0.2926, 0.9238, 0.7209)  1 P 1.54
O (0.5068, 0.2806, 0.0879)  1 P 1.54
O (0.5805, 0.2188, 0.7709)  1 P 1.54
O (0.9238, 0.0628, 0.7209)  1 P 1.54
O (0.6337, 0.7672, 0.5900)  1 P 1.53
O (0.9910, 0.3663, 0.4100)  1 P 1.53
O (0.2806, 0.1247, 0.0879)  1 P 1.54
O (0.3663, 0.2328, 0.4100)  1 P 1.53
O (0.4298, 0.5805, 0.7709)  1 P 1.54
O (0.4195, 0.7812, 0.2291)  1 P 1.54
O (0.8753, 0.4932, 0.9121)  1 P 1.54
O (0.7074, 0.0762, 0.2791)  1 P 1.54
O (0.7812, 0.5702, 0.2291)  1 P 1.54
O (0.7194, 0.8753, 0.9121)  1 P 1.54
O (0.5702, 0.4195, 0.2291)  1 P 1.54
O (0.1247, 0.5068, 0.0879)  1 P 1.54
O (0.0762, 0.9372, 0.2791)  1 P 1.54
O (0.7672, 0.0090, 0.5900)  1 P 1.53
O (0.0090, 0.6337, 0.5900)  1 P 1.53
O (0.4932, 0.7194, 0.9121)  1 P 1.54
O (0.9372, 0.7074, 0.2791)  1 P 1.54
Hf (0.8527, 0.8527, 0.4419)  6 O 2.03-2.06
Hf (0.3531, 0.3531, 0.9406)  6 O 2.04-2.07
Hf (0.1473, 0.1473, 0.5581)  6 O 2.03-2.06
Hf (0.6469, 0.6469, 0.0594)  6 O 2.04-2.07
Na (0.5000, 0.5000, 0.5000)  6 O 2.64
P (0.4635, 0.7479, 0.7486)  4 O 1.53-1.54
P (0.7479, 0.0400, 0.7486)  4 O 1.53-1.54
P (0.5365, 0.2521, 0.2514)  4 O 1.53-1.54
P (0.0400, 0.4635, 0.7486)  4 O 1.53-1.54
P (0.2521, 0.9600, 0.2514)  4 O 1.53-1.54
P (0.9600, 0.5365, 0.2514)  4 O 1.53-1.54
K (0.0000, 0.0000, 0.0000)  6 O 2.71


Entry 8:
## UCu2P2 (PBEsol)

Data for a relaxed structure of UCu2P2.

Summary:
Total moment in μB/f.u.: 2.01
Symmetry: No. 164
DOS(E_F) in states/eV per atom: 1.010
Final energy in eV/cell: -34.94

a = 3.8383 Å, b = 3.8383 Å, c = 6.3057 Å
α = 90.00°, β = 90.00°, γ = 120.00°
Closest atoms and distances in Å follow each position.
Fractional positions:
Cu (0.6667, 0.3333, 0.3682)  4 P 2.32-2.36
Cu (0.3333, 0.6667, 0.6318)  4 P 2.32-2.36
P (0.6667, 0.3333, 0.7425)  4 Cu 2.32-2.36
P (0.3333, 0.6667, 0.2575)  4 Cu 2.32-2.36
U (0.0000, 0.0000, 0.0000)  6 P 2.75


Entry 9:
## Li2RePt (PBEsol)

Data for a relaxed structure of Li2RePt.

Summary:
Total moment in μB/f.u.: 0.00
Symmetry: No. 123
DOS(E_F) in states/eV per atom: 0.931
Final energy in eV/cell: -23.24

a = 3.6149 Å, b = 3.6149 Å, c = 4.3049 Å
α = 90.00°, β = 90.00°, γ = 90.00°
Closest atoms and distances in Å follow each position.
Fractional positions:
Pt (0.5000, 0.5000, 0.5000)  4 Re 2.56, 8 Li 2.81
Li (0.0000, 0.5000, 0.0000)  4 Li 2.56, 4 Re 2.81, 4 Pt 2.81
Li (0.5000, 0.0000, 0.0000)  4 Li 2.56, 4 Re 2.81, 4 Pt 2.81
Re (0.0000, 0.0000, 0.5000)  4 Pt 2.56, 8 Li 2.81


Entry 10:
## Mg2ZnSb (PBEsol)

Data for a relaxed structure of Mg2ZnSb.

Summary:
Total moment in μB/f.u.: 0.00
Formation energy without anion corrections in eV per formula unit: -0.58
Symmetry: No. 6
DOS(E_F) in states/eV per atom: 0.263

a = 4.1295 Å, b = 4.1688 Å, c = 5.5184 Å
α = 112.70°, β = 90.00°, γ = 90.00°
Closest atoms and distances in Å follow each position.
Fractional positions:
Sb (0.0000, 0.2886, 0.4577)  2 Zn 2.74, 7 Mg 2.88-3.04
Zn (0.5000, 0.4719, 0.8121)  5 Mg 2.68-2.97, 2 Sb 2.74
Mg (0.5000, 0.7287, 0.3385)  1 Zn 2.68, 4 Sb 2.99-3.00
Mg (0.0000, 0.0108, 0.8917)  3 Sb 2.88-3.04, 4 Zn 2.96-2.97


Entry 11:
## PrSi2 (PBEsol)

Data for a relaxed structure of PrSi2.

Summary:
Total moment in μB/f.u.: 0.00
Formation energy without anion corrections in eV per formula unit: -2.02
Symmetry: No. 141
DOS(E_F) in states/eV per atom: 0.455

a = 4.2226 Å, b = 4.2226 Å, c = 7.4931 Å
α = 106.37°, β = 106.37°, γ = 90.00°
Closest atoms and distances in Å follow each position.
Fractional positions:
Pr (0.0000, 0.0000, 0.0000)  12 Si 3.10-3.21
Pr (0.2500, 0.7500, 0.5000)  12 Si 3.10-3.21
Si (0.6651, 0.1651, 0.3303)  3 Si 2.33-2.38
Si (0.4151, 0.4151, 0.8303)  3 Si 2.33-2.38
Si (0.5849, 0.5849, 0.1697)  3 Si 2.33-2.38
Si (0.8349, 0.3349, 0.6697)  3 Si 2.33-2.38


Entry 12:
## KBaZn2 (PBEsol)

Data for a relaxed structure of KBaZn2.

Summary:
Total moment in μB/f.u.: 0.00
Symmetry: No. 225
DOS(E_F) in states/eV per atom: 0.918
Final energy in eV/cell: -5.98

a = 5.6214 Å, b = 5.6214 Å, c = 5.6214 Å
α = 60.00°, β = 60.00°, γ = 60.00°
Closest atoms and distances in Å follow each position.
Fractional positions:
Zn (0.2500, 0.2500, 0.2500)  4 Ba 3.44, 4 K 3.44
Zn (0.7500, 0.7500, 0.7500)  4 Ba 3.44, 4 K 3.44
Ba (0.5000, 0.5000, 0.5000)  8 Zn 3.44
K (0.0000, 0.0000, 0.0000)  8 Zn 3.44